# ErMgTl2

A relaxed ErMgTl2 crystal (PBE-GGA, Alexandria via LeMat-Bulk).

Results
Energy of formation from the pure elements   -0.24 eV/atom
M_tot   0.0 μB per cell
Mass density   9.84 g/cm3
E   -11.85 eV for the cell shown

a b c (Å): 4.1919 4.9151 4.9151
angles (deg): 90.00 90.00 90.00
Last column: nearest neighbours and their distance in Å.
Fractional positions:
Tl1 0.0000 0.5000 0.0000  4 Mg 3.23, 4 Er 3.23, 4 Tl 3.48
Tl2 0.0000 0.0000 0.5000  4 Er 3.23, 4 Mg 3.23, 4 Tl 3.48
Mg1 0.5000 0.0000 0.0000  8 Tl 3.23, 4 Er 3.48
Er1 0.5000 0.5000 0.5000  8 Tl 3.23, 4 Mg 3.48